Computed, not measured: a relaxed TmPd2O4 crystal at the PBE level of DFT.

Density ... 8376 kg/m³
E ... -6.335 eV/atom
Formation energy from raw total energies ... -1.38 eV/atom

Unit cell a=7.4079 b=6.4767 c=5.8403 alpha=73.74 beta=57.07 gamma=49.19
Atoms (fractional coordinates):
Tm  0.1250  0.1250  0.1250
Tm  0.8750  0.8750  0.8750
Pd  0.0000  0.5000  0.5000
Pd  0.5000  0.0000  0.5000
Pd  0.5000  0.5000  0.0000
Pd  0.5000  0.5000  0.5000
O  0.1580  0.3638  0.7539
O  0.2243  0.7539  0.3638
O  0.2461  0.7757  0.8420
O  0.3638  0.1580  0.2243
O  0.6362  0.8420  0.7757
O  0.7539  0.2243  0.1580
O  0.7757  0.2461  0.6362
O  0.8420  0.6362  0.2461